## Tb5Si2Ge (GGA-PBE)

Data for Tb5Si2Ge after structural relaxation.

## Properties
DFT total energy (eV/cell): -176.3
Magnetization (Bohr magnetons per cell): 0.01
Formation energy from raw total energies (eV per formula unit): -5.46
N(E_F) (states/eV/cell): 33.48

a b c (Å): 7.5867 7.5867 13.6832
angles (deg): 90.00 90.00 90.00
Space group I4/mcm (No. 140)
Symmetry-distinct sites (fractional):
Tb1 0.0000 0.0000 0.0000 x4
Tb2 0.1716 0.3284 0.1441 x16
Si1 0.1236 0.3764 0.5000 x8
Ge1 0.0000 0.0000 0.2500 x4

## NpGaC (GGA-PBE)

Data for NpGaC after structural relaxation.

## Properties
E above lowest polymorph (eV/atom): 0.398
Energy of formation from the pure elements (eV per atom): 0.4976
DFT total energy (eV/cell): -47.4
Magnetization (Bohr magnetons per cell): 4.96
N(E_F) (states/eV/cell): 7.75

a b c (Å): 3.0683 3.0683 11.0990
angles (deg): 90.00 90.00 90.00
Space group I4mm (No. 107)
Symmetry-distinct sites (fractional):
Np1 0.0000 0.0000 0.0000 x2
Ga1 0.0000 0.0000 0.2752 x2
C1 0.0000 0.0000 0.5632 x2